First-principles (PBE with a Hubbard U) data for a relaxed structure of HfVFe2O6, as listed in Alexandria via LeMat-Bulk.

Its uncorrected energy is -8.027 eV/atom.

Lattice parameters (Å, degrees): 5.237 5.295 5.584 61.89 89.69 60.36
Space group P1 (No. 1)
One atom of each set of equivalent atoms:
Hf1 0.000 0.000 0.000 [1 per cell]
V1 0.498 0.000 0.494 [1 per cell]
Fe1 0.284 0.426 0.867 [1 per cell]
Fe2 0.789 0.427 0.370 [1 per cell]
O1 0.117 0.507 0.213 [1 per cell]
O2 0.249 0.907 0.697 [1 per cell]
O3 0.381 0.912 0.208 [1 per cell]
O4 0.624 0.166 0.692 [1 per cell]
O5 0.701 0.178 0.202 [1 per cell]
O6 0.874 0.529 0.700 [1 per cell]